An optimized crystal structure of VGa3Au, computed with PBE.

Properties
ΔH_f (0 K) = 274 kJ/mol of formula units
spin magnetization = 0.000 μB per formula unit
SG = Pm-3m (221)
raw total energy = -0.27397 Ry per atom

Lattice parameters (Å, degrees): 4.7858 4.7858 4.7858 90.00 90.00 90.00
Sites, in units of the cell vectors:
Au1 0.5000 0.5000 0.5000
Ga1 0.0000 0.5000 0.0000
Ga2 0.0000 0.0000 0.5000
Ga3 0.5000 0.0000 0.0000
V1 0.0000 0.0000 0.0000


An optimized crystal structure of VGaAu2, computed with PBE.

Properties
ΔH_f (0 K) = -12 kJ/mol of formula units
spin magnetization = 2.612 μB per formula unit
SG = P4/mmm (123)
raw total energy = -0.34595 Ry per atom

Lattice parameters (Å, degrees): 4.0114 4.1016 4.1016 90.00 90.00 90.00
Site moments in Bohr magnetons follow the coordinates.
Sites, in units of the cell vectors:
Ga1 0.5000 0.5000 0.5000  -0.03
Au1 0.0000 0.5000 0.0000  0.05
Au2 0.0000 0.0000 0.5000  0.05
V1 0.5000 0.0000 0.0000  2.24


An optimized crystal structure of VGa2Au, computed with PBE.

Properties
ΔH_f (0 K) = 6 kJ/mol of formula units
spin magnetization = 2.070 μB per formula unit
SG = Fm-3m (225)
raw total energy = -0.33789 Ry per atom

Lattice parameters (Å, degrees): 4.4945 4.4945 4.4945 60.00 60.00 60.00
Site moments in Bohr magnetons follow the coordinates.
Sites, in units of the cell vectors:
V1 0.0000 0.0000 0.0000  1.97
Au1 0.5000 0.5000 0.5000  -0.06
Ga1 0.7500 0.7500 0.7500  -0.04
Ga2 0.2500 0.2500 0.2500  -0.04


An optimized crystal structure of VGaAu2, computed with PBE.

Properties
ΔH_f (0 K) = -1 kJ/mol of formula units
spin magnetization = 0.228 μB per formula unit
SG = P4/mmm (123)
raw total energy = -0.34388 Ry per atom

Lattice parameters (Å, degrees): 2.9621 2.9621 7.5456 90.00 90.00 90.00
Site moments in Bohr magnetons follow the coordinates.
Sites, in units of the cell vectors:
Ga1 0.5000 0.5000 0.5000  0.00
Au1 0.0000 0.0000 0.7586  0.00
Au2 0.0000 0.0000 0.2414  0.00
V1 0.5000 0.5000 0.0000  0.21